The following is a DFT calculation (GGA+U) of an optimized crystal structure of LiMoI2O.

a b c (Å): 5.9728 5.9728 3.9449
angles (deg): 90.00 90.00 90.00
Space group P4/mmm (No. 123)
Inequivalent atoms, fractional coordinates:
Li: 0.0000 0.0000 0.0000 x1
Mo: 0.5000 0.5000 0.5000 x1
I: 0.0000 0.5000 0.5000 x2
O: 0.5000 0.5000 0.0000 x1

Volume, Å³/f.u.: 141
Total DFT energy (no corrections), eV for the cell shown: -20.53
ΔE to the lowest computed polymorph, eV per atom: 0.000